Entry 1:
VASP calculation (GGA-PBE) on crystalline Sr2OsSe at its relaxed geometry.

Output
ΔE_f (raw) ... 0.1963 eV/atom
Space-group type ... I-42d (122)
Calculated volume ... 126.0 Å³/f.u.
Total DFT energy (no corrections) ... -4.32 eV/atom

Lattice parameters (Å, degrees): 8.0975 8.0975 6.8963 54.05 54.05 90.00
Last column: nearest neighbours and their distance in Å.
Fractional positions:
Os1 0.7500 0.2500 0.5000  4 Sr 3.04
Os2 0.0000 0.0000 0.0000  4 Sr 3.04
Se1 0.2500 0.7500 0.5000  4 Sr 3.00
Se2 0.5000 0.5000 0.0000  4 Sr 3.00
Sr1 0.1288 0.6250 0.2500  2 Se 3.00, 2 Os 3.04
Sr2 0.6212 0.1250 0.2500  2 Se 3.00, 2 Os 3.04
Sr3 0.8750 0.8712 0.7500  2 Se 3.00, 2 Os 3.04
Sr4 0.3750 0.3788 0.7500  2 Se 3.00, 2 Os 3.04

Entry 2:
VASP calculation (GGA-PBE) on crystalline SrOsSe3 at its relaxed geometry.

Output
Relative energy among the computed polymorphs ... 1781.5 meV per atom
ΔE_f (raw) ... 1.4605 eV/atom
Space-group type ... Pm-3m (221)
Calculated volume ... 181.5 Å³/f.u.
Total DFT energy (no corrections) ... -3.21 eV/atom

Lattice parameters (Å, degrees): 5.6618 5.6618 5.6618 90.00 90.00 90.00
Last column: nearest neighbours and their distance in Å.
Fractional positions:
Se1 0.5000 0.0000 0.0000  2 Sr 2.83
Se2 0.0000 0.0000 0.5000  2 Sr 2.83
Se3 0.0000 0.5000 0.0000  2 Sr 2.83
Sr1 0.0000 0.0000 0.0000  6 Se 2.83
Os1 0.5000 0.5000 0.5000  12 Se 4.00

Entry 3:
VASP calculation (GGA-PBE) on crystalline SrOs4Se at its relaxed geometry.

Output
ΔE_f (raw) ... 0.8411 eV/atom
Space-group type ... F-43m (216)
Calculated volume ... 108.8 Å³/f.u.
Total DFT energy (no corrections) ... -7.51 eV/atom

Lattice parameters (Å, degrees): 5.3579 5.3579 5.3579 60.00 60.00 60.00
Last column: nearest neighbours and their distance in Å.
Fractional positions:
Os1 0.3758 0.8727 0.3758  6 Os 2.66-2.70
Os2 0.8727 0.3758 0.3758  6 Os 2.66-2.70
Os3 0.3758 0.3758 0.3758  6 Os 2.66-2.70
Os4 0.3758 0.3758 0.8727  6 Os 2.66-2.70
Sr1 0.0000 0.0000 0.0000  12 Os 3.14, 4 Se 3.28
Se1 0.7500 0.7500 0.7500  12 Os 3.14, 4 Sr 3.28

Entry 4:
VASP calculation (GGA-PBE) on crystalline Sr2OsSe at its relaxed geometry.

Output
ΔE_f (raw) ... -0.1430 eV/atom
Space-group type ... P2/m (10)
Calculated volume ... 104.6 Å³/f.u.
Total DFT energy (no corrections) ... -4.66 eV/atom

Lattice parameters (Å, degrees): 3.7216 3.6857 8.4737 64.14 90.00 90.00
Last column: nearest neighbours and their distance in Å.
Fractional positions:
Se1 0.5000 0.7500 0.7500  8 Sr 3.21
Sr1 0.0000 0.4929 0.5074  4 Se 3.21, 4 Os 3.27
Sr2 0.0000 0.0071 0.9926  4 Se 3.21, 4 Os 3.27
Os1 0.5000 0.2500 0.2500  8 Sr 3.27

Entry 5:
VASP calculation (GGA-PBE) on crystalline Sr3OsSe at its relaxed geometry.

Output
ΔE_f (raw) ... 0.2667 eV/atom
Space-group type ... Pm-3m (221)
Calculated volume ... 187.7 Å³/f.u.
Total DFT energy (no corrections) ... -3.69 eV/atom

Lattice parameters (Å, degrees): 5.7256 5.7256 5.7256 90.00 90.00 90.00
Last column: nearest neighbours and their distance in Å.
Fractional positions:
Sr1 0.0000 0.5000 0.0000  2 Se 2.86
Sr2 0.5000 0.0000 0.0000  2 Se 2.86
Sr3 0.0000 0.0000 0.5000  2 Se 2.86
Se1 0.0000 0.0000 0.0000  6 Sr 2.86
Os1 0.5000 0.5000 0.5000  12 Sr 4.05

Entry 6:
VASP calculation (GGA-PBE) on crystalline Sr2OsSe at its relaxed geometry.

Output
ΔE_f (raw) ... -0.0219 eV/atom
Space-group type ... R-3m (166)
Calculated volume ... 117.0 Å³/f.u.
Total DFT energy (no corrections) ... -4.54 eV/atom

Lattice parameters (Å, degrees): 8.5628 8.5628 8.5628 27.35 27.35 27.35
Last column: nearest neighbours and their distance in Å.
Fractional positions:
Sr1 0.0045 0.0045 0.0045  3 Se 3.04, 3 Os 3.19
Sr2 0.4955 0.4955 0.4955  3 Se 3.04, 3 Os 3.19
Os1 0.2500 0.2500 0.2500  6 Sr 3.19
Se1 0.7500 0.7500 0.7500  6 Sr 3.04

Entry 7:
VASP calculation (GGA-PBE) on crystalline SrOsSe3 at its relaxed geometry.

Output
Relative energy among the computed polymorphs ... 0.0 meV per atom
ΔE_f (raw) ... -0.3210 eV/atom
Space-group type ... Pm-3m (221)
Calculated volume ... 126.8 Å³/f.u.
Total DFT energy (no corrections) ... -4.99 eV/atom

Lattice parameters (Å, degrees): 5.0241 5.0241 5.0241 90.00 90.00 90.00
Last column: nearest neighbours and their distance in Å.
Fractional positions:
Se1 0.0000 0.0000 0.5000  2 Os 2.51
Se2 0.5000 0.0000 0.0000  2 Os 2.51
Se3 0.0000 0.5000 0.0000  2 Os 2.51
Sr1 0.5000 0.5000 0.5000  12 Se 3.55
Os1 0.0000 0.0000 0.0000  6 Se 2.51

Entry 8:
VASP calculation (GGA-PBE) on crystalline Sr2OsSe at its relaxed geometry.

Output
ΔE_f (raw) ... -0.2587 eV/atom
Space-group type ... Amm2 (38)
Calculated volume ... 108.7 Å³/f.u.
Total DFT energy (no corrections) ... -4.78 eV/atom

Lattice parameters (Å, degrees): 6.1084 6.1084 4.1113 90.00 90.00 45.11
Last column: nearest neighbours and their distance in Å.
Fractional positions:
Se1 0.3142 0.3142 0.1250  2 Os 2.49
Os1 0.4383 0.4383 0.6250  2 Se 2.49
Sr1 0.0153 0.0153 0.1251  4 Os 3.24, 3 Se 3.26-3.37
Sr2 0.7321 0.7321 0.6248  4 Se 3.25, 3 Os 3.30-3.32

Number 1: DOS at the Fermi energy 6.88 states/eV/cell. Number 2: DOS at the Fermi energy 14.29 states/eV/cell. Number 3: DOS at the Fermi energy 9.92 states/eV/cell. Number 4: DOS at the Fermi energy 4.08 states/eV/cell. Number 5: DOS at the Fermi energy 8.19 states/eV/cell. Number 6: DOS at the Fermi energy 5.99 states/eV/cell. Number 7: DOS at the Fermi energy 3.94 states/eV/cell. Number 8: DOS at the Fermi energy 2.56 states/eV/cell.